1.
This record from the Alexandria database describes a relaxed Ba2Mg5Hg3 crystal. The functional is PBE.

SG ... C2/c, No. 15
DOS at the Fermi energy ... 0.7480 states/eV per atom
Uncorrected energy ... -1.54 eV per atom
Crystal system ... monoclinic
Formation energy ... -267 meV/atom

a = 6.876 Å, b = 9.879 Å, c = 9.879 Å
α = 87.11°, β = 69.96°, γ = 69.96°
Fractional positions:
Mg  0.136  0.754  0.986
Mg  0.250  0.498  0.502
Mg  0.250  0.258  0.742
Mg  0.864  0.246  0.014
Mg  0.750  0.263  0.737
Mg  0.364  0.014  0.246
Mg  0.750  0.742  0.258
Mg  0.250  0.737  0.263
Mg  0.636  0.986  0.754
Mg  0.750  0.502  0.498
Ba  0.250  0.882  0.623
Ba  0.750  0.118  0.377
Ba  0.250  0.377  0.118
Ba  0.750  0.623  0.882
Hg  0.750  0.994  0.006
Hg  0.250  0.006  0.994
Hg  0.138  0.240  0.480
Hg  0.862  0.760  0.520
Hg  0.638  0.480  0.240
Hg  0.362  0.520  0.760

2.
This record from the Alexandria database describes a relaxed BaMg2Hg crystal. The functional is PBE.

SG ... P4mm, No. 99
DOS at the Fermi energy ... 0.6976 states/eV per atom
Uncorrected energy ... -1.52 eV per atom
Crystal system ... tetragonal
Formation energy ... -166 meV/atom

a = 3.968 Å, b = 3.968 Å, c = 7.741 Å
α = 90.00°, β = 90.00°, γ = 90.00°
Fractional positions:
Ba  0.000  0.000  0.515
Mg  0.000  0.000  0.992
Mg  0.500  0.500  0.188
Hg  0.500  0.500  0.805

3.
This record from the Alexandria database describes a relaxed BaMgHg2 crystal. The functional is PBE.

SG ... P4mm, No. 99
DOS at the Fermi energy ... 0.5601 states/eV per atom
Uncorrected energy ... -1.29 eV per atom
Crystal system ... tetragonal
Formation energy ... -261 meV/atom

a = 4.095 Å, b = 4.097 Å, c = 7.407 Å
α = 90.00°, β = 90.00°, γ = 90.00°
Fractional positions:
Hg  0.000  0.000  0.028
Hg  0.500  0.500  0.290
Ba  0.500  0.500  0.765
Mg  0.000  0.000  0.417

4.
This record from the Alexandria database describes a relaxed Ba12MgHg6 crystal. The functional is PBE.

SG ... Im-3, No. 204
DOS at the Fermi energy ... 1.3592 states/eV per atom
E above lowest polymorph ... 0.0 meV per atom
Uncorrected energy ... -1.68 eV per atom
Crystal system ... cubic
Formation energy ... -286 meV/atom

a = 10.476 Å, b = 10.476 Å, c = 10.476 Å
α = 109.47°, β = 109.47°, γ = 109.47°
Fractional positions:
Hg  0.500  0.870  0.370
Hg  0.500  0.130  0.630
Hg  0.630  0.500  0.130
Hg  0.130  0.630  0.500
Hg  0.370  0.500  0.870
Hg  0.870  0.370  0.500
Ba  0.298  0.476  0.177
Ba  0.823  0.298  0.121
Ba  0.177  0.702  0.879
Ba  0.121  0.823  0.298
Ba  0.298  0.121  0.823
Ba  0.879  0.177  0.702
Ba  0.823  0.702  0.524
Ba  0.702  0.879  0.177
Ba  0.702  0.524  0.823
Ba  0.177  0.298  0.476
Ba  0.476  0.177  0.298
Ba  0.524  0.823  0.702
Mg  0.000  0.000  0.000